First-principles (PBE-GGA) data for a relaxed Ho4IrPd3 crystal, as listed in Alexandria.

The calculation puts the formation energy at -697 kJ/mol of formula units. Its space-group type is No. 123. The total energy is -6.246 eV per atom. Its density of states at the Fermi level is 4.999 states/eV/f.u. The value obtained for the mass density is 11.59 Mg/m³.

a b c (Å): 3.466 3.466 13.961
angles (deg): 90.00 90.00 90.00
Positions (direct):
Ir 0.500 0.500 0.000
Ho 0.000 0.000 0.882
Ho 0.000 0.000 0.118
Ho 0.000 0.000 0.374
Ho 0.000 0.000 0.626
Pd 0.500 0.500 0.249
Pd 0.500 0.500 0.500
Pd 0.500 0.500 0.751



First-principles (PBE-GGA) data for a relaxed Al4ZnGa2 crystal, as listed in Alexandria.

The value obtained for the relative energy among the computed polymorphs is 0 meV per atom. The calculation puts the formation energy at 10 kJ/mol of formula units. Its space-group type is No. 166. The total energy is -3.171 eV per atom. Its density of states at the Fermi level is 1.734 states/eV/f.u. The value obtained for the mass density is 4.41 Mg/m³.

a b c (Å): 2.850 2.850 16.828
angles (deg): 85.14 85.14 60.00
Positions (direct):
Zn 0.000 0.000 0.000
Al 0.857 0.857 0.428
Al 0.712 0.712 0.863
Al 0.288 0.288 0.137
Al 0.143 0.143 0.572
Ga 0.573 0.573 0.282
Ga 0.427 0.427 0.718



First-principles (PBE-GGA) data for a relaxed K2RbCdHg crystal, as listed in Alexandria.

The value obtained for the relative energy among the computed polymorphs is 31 meV per atom. The calculation puts the formation energy at -2 kJ/mol of formula units. Its space-group type is No. 123. The total energy is -0.880 eV per atom. Its density of states at the Fermi level is 2.927 states/eV/f.u. The value obtained for the mass density is 2.85 Mg/m³.

a b c (Å): 6.807 6.807 5.999
angles (deg): 90.00 90.00 90.00
Positions (direct):
K 0.000 0.500 0.000
K 0.500 0.000 0.000
Hg 0.000 0.000 0.500
Rb 0.500 0.500 0.500
Cd 0.000 0.000 0.000



First-principles (PBE-GGA) data for a relaxed Tb4IrCl5 crystal, as listed in Alexandria.

For the uncorrected formation energy, the calculation gives -1.7140 eV per atom. Its space-group type is No. 12. The total energy is -5.376 eV per atom. Its density of states at the Fermi level is 2.257 states/eV/f.u. The value obtained for the mass density is 5.46 Mg/m³.

a b c (Å): 3.928 8.337 9.658
angles (deg): 99.17 101.73 90.00
Positions (direct):
Tb 0.352 0.937 0.703
Tb 0.994 0.776 0.987
Tb 0.648 0.063 0.297
Tb 0.006 0.224 0.013
Ir 0.500 0.000 0.000
Cl 0.837 0.700 0.674
Cl 0.812 0.143 0.625
Cl 0.188 0.857 0.375
Cl 0.500 0.500 0.000
Cl 0.163 0.300 0.326



First-principles (PBE-GGA) data for a relaxed TcTe4Pd crystal, as listed in Alexandria.

For the uncorrected formation energy, the calculation gives -0.2460 eV per atom. Its space-group type is No. 14. The total energy is -4.934 eV per atom. Its density of states at the Fermi level is 2.975 states/eV/f.u. The value obtained for the mass density is 8.27 Mg/m³.

a b c (Å): 6.609 6.622 6.559
angles (deg): 90.00 89.73 90.00
Positions (direct):
Tc 0.000 0.000 0.000
Tc 0.500 0.500 0.000
Te 0.866 0.633 0.116
Te 0.634 0.133 0.884
Te 0.379 0.375 0.365
Te 0.121 0.875 0.635
Te 0.134 0.367 0.884
Te 0.366 0.867 0.116
Te 0.621 0.625 0.635
Te 0.879 0.125 0.365
Pd 0.500 0.000 0.500
Pd 0.000 0.500 0.500



First-principles (PBE-GGA) data for a relaxed Ca2Pt2Rh crystal, as listed in Alexandria.

The calculation puts the formation energy at -303 kJ/mol of formula units. Its space-group type is No. 127. The total energy is -5.316 eV per atom. Its density of states at the Fermi level is 5.004 states/eV/f.u. The value obtained for the mass density is 9.16 Mg/m³.

a b c (Å): 6.891 6.891 4.379
angles (deg): 90.00 90.00 90.00
Positions (direct):
Ca 0.177 0.677 0.500
Ca 0.677 0.823 0.500
Ca 0.823 0.323 0.500
Ca 0.323 0.177 0.500
Rh 0.000 0.000 0.000
Rh 0.500 0.500 0.000
Pt 0.367 0.867 0.000
Pt 0.867 0.633 0.000
Pt 0.633 0.133 0.000
Pt 0.133 0.367 0.000



First-principles (PBE-GGA) data for a relaxed Ho2ScTl crystal, as listed in Alexandria.

The value obtained for the relative energy among the computed polymorphs is 0 meV per atom. The calculation puts the formation energy at -64 kJ/mol of formula units. Its space-group type is No. 74. The total energy is -4.630 eV per atom. Its density of states at the Fermi level is 4.595 states/eV/f.u. The value obtained for the mass density is 8.89 Mg/m³.

a b c (Å): 6.618 6.615 6.615
angles (deg): 71.62 59.98 59.98
Positions (direct):
Ho 0.203 0.297 0.797
Ho 0.297 0.703 0.203
Ho 0.797 0.703 0.203
Ho 0.703 0.297 0.797
Sc 0.750 0.187 0.313
Sc 0.250 0.813 0.687
Tl 0.250 0.198 0.302
Tl 0.750 0.802 0.698



First-principles (PBE-GGA) data for a relaxed KNiHgTe2 crystal, as listed in Alexandria.

For the uncorrected formation energy, the calculation gives 0.7249 eV per atom. Its space-group type is No. 123. The total energy is -1.968 eV per atom. Its density of states at the Fermi level is 12.064 states/eV/f.u. The value obtained for the mass density is 4.80 Mg/m³.

a b c (Å): 5.708 5.878 5.708
angles (deg): 90.00 90.00 90.00
Site moments in Bohr magnetons follow the coordinates.
Positions (direct):
Ni 0.500 0.500 0.500  0.92
K 0.000 0.500 0.000  0.00
Te 0.000 0.000 0.500  0.05
Te 0.500 0.000 0.000  0.07
Hg 0.000 0.000 0.000  0.00



First-principles (PBE-GGA) data for a relaxed Pu2TeN crystal, as listed in Alexandria.

The value obtained for the relative energy among the computed polymorphs is 857 meV per atom. For the uncorrected formation energy, the calculation gives -0.2260 eV per atom. Its space-group type is No. 166. The total energy is -10.259 eV per atom. Its density of states at the Fermi level is 7.648 states/eV/f.u. The value obtained for the mass density is 13.13 Mg/m³.

a b c (Å): 4.100 4.100 5.961
angles (deg): 69.88 69.88 60.00
Site moments in Bohr magnetons follow the coordinates.
Positions (direct):
N 0.500 0.500 0.500  -0.01
Te 0.000 0.000 0.000  0.02
Pu 0.809 0.809 0.572  0.91
Pu 0.191 0.191 0.428  0.91



First-principles (PBE-GGA) data for a relaxed SrReAg2 crystal, as listed in Alexandria.

The value obtained for the relative energy among the computed polymorphs is 42 meV per atom. The calculation puts the formation energy at 276 kJ/mol of formula units. Its space-group type is No. 8. The total energy is -4.244 eV per atom. Its density of states at the Fermi level is 2.483 states/eV/f.u. The value obtained for the mass density is 10.03 Mg/m³.

a b c (Å): 5.333 5.333 5.632
angles (deg): 82.18 82.18 30.73
Positions (direct):
Ag 0.009 0.009 0.984
Ag 0.750 0.750 0.728
Re 0.493 0.493 0.546
Sr 0.248 0.248 0.242



First-principles (PBE-GGA) data for a relaxed CrInCu2 crystal, as listed in Alexandria.

The calculation puts the formation energy at 88 kJ/mol of formula units. Its space-group type is No. 44. The total energy is -4.910 eV per atom. Its density of states at the Fermi level is 1.847 states/eV/f.u. The value obtained for the mass density is 7.92 Mg/m³.

a b c (Å): 4.888 4.888 4.888
angles (deg): 135.34 130.10 69.18
Site moments in Bohr magnetons follow the coordinates.
Positions (direct):
Cr 0.245 0.745 0.500  3.46
Cu 0.991 0.991 0.000  0.07
Cu 0.759 0.259 0.500  0.09
In 0.505 0.505 0.000  -0.01



First-principles (PBE-GGA) data for a relaxed Ag3IBr4 crystal, as listed in Alexandria.

For the uncorrected formation energy, the calculation gives -0.2124 eV per atom. Its space-group type is No. 31. The total energy is -2.312 eV per atom. The value obtained for the mass density is 4.67 Mg/m³.

a b c (Å): 7.359 8.197 9.077
angles (deg): 90.00 90.00 90.00
Positions (direct):
I 0.107 0.353 0.000
I 0.607 0.647 0.500
Br 0.083 0.845 0.000
Br 0.614 0.134 0.000
Br 0.120 0.371 0.302
Br 0.620 0.629 0.198
Br 0.114 0.866 0.500
Br 0.583 0.155 0.500
Br 0.620 0.629 0.802
Br 0.120 0.371 0.698
Ag 0.441 0.850 0.000
Ag 0.015 0.703 0.259
Ag 0.515 0.297 0.241
Ag 0.941 0.150 0.500
Ag 0.515 0.297 0.759
Ag 0.015 0.703 0.741